a:
DFT (PBE) results for a relaxed structure of CaCd3Bi.

Structure (POSCAR):
```
CaCd3Bi
1.0
5.757 0.000 0.000
0.000 5.757 0.000
0.000 0.000 5.757
Ca Bi Cd
1 1 3
Direct
0.500 0.500 0.500
0.000 0.000 0.000
0.000 0.500 0.000
0.000 0.000 0.500
0.500 0.000 0.000
```

=====

b:
DFT (PBE) results for a relaxed structure of CaCd3Bi.

Structure (POSCAR):
```
CaCd3Bi
1.0
5.738 0.000 0.000
0.000 5.738 0.000
0.000 0.000 5.738
Ca Bi Cd
1 1 3
Direct
0.000 0.000 0.000
0.500 0.500 0.500
0.000 0.500 0.000
0.000 0.000 0.500
0.500 0.000 0.000
```

=====

Question: which arrangement is favored energetically? Ranking from most to least stable: a, b.

=====

a:
DFT (PBE) results for a relaxed structure of Ca2CdBi4.

Structure (POSCAR):
```
Ca2CdBi4
1.0
1.029 1.704 -6.560
2.094 -6.441 -1.060
-6.053 1.099 2.800
Ca Bi Cd
2 4 1
Direct
0.286 0.786 0.572
0.786 0.286 0.572
0.786 0.786 0.071
0.285 0.285 0.072
0.786 0.286 0.072
0.286 0.786 0.072
0.785 0.785 0.570
```

=====

b:
DFT (PBE) results for a relaxed structure of Ca2CdBi4.

Structure (POSCAR):
```
Ca2CdBi4
1.0
-0.611 -1.214 -4.514
0.005 -4.552 1.223
-9.857 0.324 1.247
Ca Cd Bi
2 1 4
Direct
0.500 0.000 0.764
0.000 0.500 0.236
0.500 0.500 0.000
0.500 0.000 0.190
0.000 0.500 0.810
0.500 0.500 0.500
0.000 0.000 0.500
```

=====

Question: which arrangement is favored energetically? Ranking from most to least stable: a, b.